Model one:
{"formula": "ScC", "functional": "PBE", "state": "relaxed", "cell": [[-1.633, 1.633, 4.794], [1.633, -1.633, 4.794], [1.633, 1.633, -4.794]], "species": ["Sc", "Sc", "C", "C"], "frac_coords": [[0.375, 0.625, 0.750], [0.625, 0.375, 0.250], [0.125, 0.875, 0.250], [0.875, 0.125, 0.750]], "dos_ef_per_ev_fu": 0.83, "spacegroup": "I4_1/amd", "magnetic_moment_mub_per_fu": 0.00}

***

Model two:
{"formula": "ScC", "functional": "PBE", "state": "relaxed", "cell": [[2.806, 0.000, 0.000], [0.000, 2.806, 0.000], [0.000, 0.000, 3.020]], "species": ["Sc", "C"], "frac_coords": [[0.000, 0.000, 0.000], [0.500, 0.500, 0.500]], "dos_ef_per_ev_fu": 1.18, "spacegroup": "P4/mmm", "magnetic_moment_mub_per_fu": 0.00}

***

Model three:
{"formula": "ScC", "functional": "PBE", "state": "relaxed", "cell": [[-3.434, 3.434, 3.434], [3.434, -3.434, 3.434], [3.434, 3.434, -3.434]], "species": ["Sc", "Sc", "Sc", "Sc", "C", "C", "C", "C"], "frac_coords": [[0.000, 0.000, 0.340], [0.000, 0.340, 0.000], [0.340, 0.000, 0.000], [0.660, 0.660, 0.660], [0.000, 0.000, 0.698], [0.000, 0.698, 0.000], [0.302, 0.302, 0.302], [0.698, 0.000, 0.000]], "dos_ef_per_ev_fu": 2.62, "spacegroup": "I-43m", "magnetic_moment_mub_per_fu": 0.47}

***

model one has the most favorable energy; the next structure is 0.069 eV/atom above.